Computed, not measured: a relaxed structure of MgGa2AgTe at the PBE level of DFT.

Calculated values
- Formation energy without anion corrections: 0.07 eV per atom
- Theoretical density: 5.147 g cm⁻³
- E_tot: -13.30 eV for the cell shown

Cell: 4.9684 4.9684 5.2181 Å, 90.00 90.00 90.00°
Closest atoms and distances in Å follow each position.
Space group P4/mmm (No. 123)
Unique sites:
Mg: 0.0000 0.0000 0.0000 x1  2 Ag 2.61
Ga: 0.0000 0.5000 0.5000 x2  2 Ag 2.48
Ag: 0.0000 0.0000 0.5000 x1  4 Ga 2.48, 2 Mg 2.61
Te: 0.5000 0.5000 0.0000 x1  4 Mg 3.51, 8 Ga 3.60

Computed, not measured: a relaxed structure of TiNiP3 at the PBE level of DFT.

Calculated values
- Theoretical density: 3.986 g cm⁻³
- E_tot: -27.89 eV for the cell shown
- Formation energy from the elements: 0.40 eV per atom
- Polymorph energy (0 for the lowest one): 0 meV/atom

Cell: 4.3640 4.3640 4.3640 Å, 90.00 90.00 90.00°
Closest atoms and distances in Å follow each position.
Space group Pm-3m (No. 221)
Unique sites:
Ti: 0.0000 0.0000 0.0000 x1  12 P 3.09
Ni: 0.5000 0.5000 0.5000 x1  6 P 2.18
P: 0.0000 0.5000 0.5000 x3  2 Ni 2.18

Number 1: V 128.81 Å³ per cell. Number 2: V 83.11 Å³ per cell.